No. 1
DFT (PBE) results for AlTcS2Cl after structural relaxation.

Summary:
- space-group type = P4/mmm (123)

Lattice parameters (Å, degrees): 4.7111 4.7111 4.5612 90.00 90.00 90.00
With the nearest neighbours (Å) after each atom.
Fractional coordinates of all 5 atoms:
Al (0.0000, 0.0000, 0.0000)  2 Cl 2.28, 4 S 2.36
Tc (0.5000, 0.5000, 0.5000)  8 S 3.28, 4 Cl 3.33
S (0.0000, 0.5000, 0.0000)  2 Al 2.36
S (0.5000, 0.0000, 0.0000)  2 Al 2.36
Cl (0.0000, 0.0000, 0.5000)  2 Al 2.28

No. 2
DFT (PBE) results for AlTcSCl2 after structural relaxation.

Summary:
- space-group type = P4/mmm (123)

Lattice parameters (Å, degrees): 4.6962 4.6962 4.7618 90.00 90.00 90.00
With the nearest neighbours (Å) after each atom.
Fractional coordinates of all 5 atoms:
Al (0.0000, 0.0000, 0.0000)  4 Cl 2.35, 2 S 2.38
Tc (0.5000, 0.5000, 0.5000)  4 S 3.32, 8 Cl 3.34
S (0.0000, 0.0000, 0.5000)  2 Al 2.38
Cl (0.0000, 0.5000, 0.0000)  2 Al 2.35
Cl (0.5000, 0.0000, 0.0000)  2 Al 2.35

No. 3
DFT (PBE) results for AlTeS2Cl after structural relaxation.

Summary:
- space-group type = P4/mmm (123)

Lattice parameters (Å, degrees): 4.7702 4.7702 4.5019 90.00 90.00 90.00
With the nearest neighbours (Å) after each atom.
Fractional coordinates of all 5 atoms:
Al (0.0000, 0.0000, 0.0000)  2 Cl 2.25, 4 S 2.39
Te (0.5000, 0.5000, 0.5000)  8 S 3.28, 4 Cl 3.37
S (0.0000, 0.5000, 0.0000)  2 Al 2.39
S (0.5000, 0.0000, 0.0000)  2 Al 2.39
Cl (0.0000, 0.0000, 0.5000)  2 Al 2.25

No. 4
DFT (PBE) results for AlTeS2Cl after structural relaxation.

Summary:
- space-group type = P4/mmm (123)

Lattice parameters (Å, degrees): 5.1169 5.1169 5.3106 90.00 90.00 90.00
With the nearest neighbours (Å) after each atom.
Fractional coordinates of all 5 atoms:
Al (0.0000, 0.0000, 0.0000)  4 Cl 3.62, 8 S 3.69
Te (0.5000, 0.5000, 0.5000)  4 S 2.56, 2 Cl 2.66
S (0.0000, 0.5000, 0.5000)  2 Te 2.56
S (0.5000, 0.0000, 0.5000)  2 Te 2.56
Cl (0.5000, 0.5000, 0.0000)  2 Te 2.66

| no. | excess energy over the best structure of this formula in the dataset (meV/atom) | E_tot (eV/atom) | total magnetic moment (μB/f.u.) |
| --- | --- | --- | --- |
| 1 | 191 | -4.607 | 4.93 |
| 2 | 210 | -4.231 | 4.65 |
| 3 | 0 | -3.596 | 0.00 |
| 4 | 444 | -3.152 | 0.00 |